# La7Y12Tm

La7Y12Tm after structural relaxation (PBE, Alexandria via LeMat-Bulk).

Properties
Size of the total moment: 0.00 μB/cell
DFT formation energy: 0.613 eV/atom
Density of states at the Fermi level: 29.41 states/eV/cell
Polymorph energy (0 for the lowest one): 393 meV/atom
Crystal system: cubic

Unit cell a=9.852 b=9.852 c=9.852 alpha=109.47 beta=109.47 gamma=109.47
Sites, in units of the cell vectors:
La: 0.500 0.500 0.000
La: 0.500 0.500 0.500
La: 0.500 0.000 0.500
La: 0.500 0.000 0.000
La: 0.000 0.500 0.000
La: 0.000 0.000 0.500
La: 0.000 0.500 0.500
Y: 0.000 0.246 0.754
Y: 0.000 0.754 0.246
Y: 0.246 0.000 0.754
Y: 0.246 0.754 0.000
Y: 0.754 0.508 0.754
Y: 0.246 0.492 0.246
Y: 0.492 0.246 0.246
Y: 0.754 0.246 0.000
Y: 0.508 0.754 0.754
Y: 0.754 0.000 0.246
Y: 0.246 0.246 0.492
Y: 0.754 0.754 0.508
Tm: 0.000 0.000 0.000

---

# YHoTm2Sc2

YHoTm2Sc2 after structural relaxation (PBE, Alexandria via LeMat-Bulk).

Properties
Size of the total moment: 0.02 μB/cell
DFT formation energy: 0.075 eV/atom
Density of states at the Fermi level: 25.26 states/eV/cell
Crystal system: orthorhombic

Unit cell a=5.412 b=9.349 c=6.805 alpha=90.00 beta=90.00 gamma=90.00
Sites, in units of the cell vectors:
Sc: 0.500 0.833 0.750
Sc: 0.000 0.333 0.750
Sc: 0.500 0.167 0.250
Sc: 0.000 0.667 0.250
Tm: 0.500 0.166 0.750
Tm: 0.000 0.334 0.250
Tm: 0.500 0.834 0.250
Tm: 0.000 0.666 0.750
Y: 0.500 0.500 0.000
Y: 0.000 0.000 0.500
Ho: 0.000 0.000 0.000
Ho: 0.500 0.500 0.500

---

The lowest size of the total moment belongs to which entry? La7Y12Tm